--- w ---
A relaxed structure of CoSiNiW, computed with PBE-GGA.

Computed properties:
M_tot = 0.1 μB per cell

abc: 4.105 4.105 4.105
angles: 60.00 60.00 60.00
Positions (direct):
Co1 0.000 0.000 0.000
Si1 0.750 0.750 0.750
Ni1 0.250 0.250 0.250
W1 0.500 0.500 0.500



--- x ---
A relaxed structure of CoSiNiW, computed with PBE-GGA.

Computed properties:
M_tot = 0.1 μB per cell

abc: 4.105 4.105 4.105
angles: 60.00 60.00 60.00
Positions (direct):
Co1 0.000 0.000 0.000
Si1 0.750 0.750 0.750
Ni1 0.500 0.500 0.500
W1 0.250 0.250 0.250



Short version: w is the most stable of them.



--- w ---
A relaxed structure of ZrCoSiNi, computed with PBE-GGA.

Computed properties:
M_tot = 0.1 μB per cell

abc: 4.234 4.234 4.234
angles: 60.00 60.00 60.00
Positions (direct):
Zr1 0.000 0.000 0.000
Co1 0.750 0.750 0.750
Si1 0.500 0.500 0.500
Ni1 0.250 0.250 0.250



--- x ---
A relaxed structure of ZrCoSiNi, computed with PBE-GGA.

Computed properties:
M_tot = 0.0 μB per cell

abc: 4.269 4.269 4.269
angles: 60.00 60.00 60.00
Positions (direct):
Zr1 0.000 0.000 0.000
Co1 0.500 0.500 0.500
Si1 0.250 0.250 0.250
Ni1 0.750 0.750 0.750



Short version: w is the most stable of them.



--- w ---
A relaxed structure of TaTlCoNi, computed with PBE-GGA.

Computed properties:
M_tot = 0.8 μB per cell

abc: 4.441 4.441 4.441
angles: 60.00 60.00 60.00
Positions (direct):
Ta1 0.000 0.000 0.000
Tl1 0.250 0.250 0.250
Co1 0.750 0.750 0.750
Ni1 0.500 0.500 0.500



--- x ---
A relaxed structure of TaTlCoNi, computed with PBE-GGA.

Computed properties:
M_tot = 0.1 μB per cell

abc: 4.385 4.385 4.385
angles: 60.00 60.00 60.00
Positions (direct):
Ta1 0.000 0.000 0.000
Tl1 0.500 0.500 0.500
Co1 0.750 0.750 0.750
Ni1 0.250 0.250 0.250



--- y ---
A relaxed structure of TaTlCoNi, computed with PBE-GGA.

Computed properties:
M_tot = 0.0 μB per cell

abc: 4.425 4.425 4.425
angles: 60.00 60.00 60.00
Positions (direct):
Ta1 0.000 0.000 0.000
Tl1 0.250 0.250 0.250
Co1 0.500 0.500 0.500
Ni1 0.750 0.750 0.750



Short version: x is the most stable of them.



--- w ---
A relaxed structure of YCoNi, computed with PBE-GGA.

Computed properties:
M_tot = 0.3 μB per cell

abc: 3.914 3.914 7.715
angles: 90.00 90.00 120.00
Positions (direct):
Y1 0.000 0.000 0.000
Y2 0.000 0.000 0.500
Co1 0.333 0.667 0.250
Co2 0.667 0.333 0.750
Ni1 0.333 0.667 0.750
Ni2 0.667 0.333 0.250



--- x ---
A relaxed structure of YCoNi, computed with PBE-GGA.

Computed properties:
M_tot = 5.7 μB per cell

abc: 6.757 3.955 7.341
angles: 90.00 90.00 90.00
Positions (direct):
Y1 0.018 0.250 0.190
Y2 0.482 0.750 0.690
Y3 0.518 0.250 0.310
Y4 0.982 0.750 0.810
Co1 0.139 0.250 0.562
Co2 0.361 0.750 0.062
Co3 0.639 0.250 0.938
Co4 0.861 0.750 0.438
Ni1 0.223 0.750 0.388
Ni2 0.277 0.250 0.888
Ni3 0.723 0.750 0.112
Ni4 0.777 0.250 0.612



--- y ---
A relaxed structure of YCoNi, computed with PBE-GGA.

Computed properties:
M_tot = 2.8 μB per cell

abc: 6.570 6.570 3.869
angles: 90.00 90.00 120.00
Positions (direct):
Y1 0.000 0.590 0.000
Y2 0.410 0.410 0.000
Y3 0.590 0.000 0.000
Co1 0.000 0.000 0.000
Co2 0.333 0.667 0.500
Co3 0.667 0.333 0.500
Ni1 0.000 0.228 0.500
Ni2 0.228 0.000 0.500
Ni3 0.772 0.772 0.500



Short version: w is the most stable of them.



--- w ---
A relaxed structure of YCoNi2, computed with PBE-GGA.

Computed properties:
M_tot = 1.3 μB per cell

abc: 4.358 4.358 4.358
angles: 60.00 60.00 60.00
Positions (direct):
Y1 0.000 0.000 0.000
Co1 0.250 0.250 0.250
Ni1 0.500 0.500 0.500
Ni2 0.750 0.750 0.750



--- x ---
A relaxed structure of YCoNi2, computed with PBE-GGA.

Computed properties:
M_tot = 4.4 μB per cell

abc: 8.615 8.615 8.615
angles: 33.31 33.31 33.31
Positions (direct):
Y1 0.000 0.000 0.000
Y2 0.139 0.139 0.139
Y3 0.861 0.861 0.861
Co1 0.333 0.333 0.333
Co2 0.500 0.500 0.500
Co3 0.667 0.667 0.667
Ni1 0.083 0.581 0.581
Ni2 0.419 0.419 0.917
Ni3 0.419 0.917 0.419
Ni4 0.581 0.083 0.581
Ni5 0.581 0.581 0.083
Ni6 0.917 0.419 0.419



Short version: x is the most stable of them.



--- w ---
A relaxed structure of ZrZnCoNi, computed with PBE-GGA.

Computed properties:
M_tot = 1.5 μB per cell

abc: 4.328 4.328 4.328
angles: 60.00 60.00 60.00
Positions (direct):
Zr1 0.000 0.000 0.000
Zn1 0.250 0.250 0.250
Co1 0.500 0.500 0.500
Ni1 0.750 0.750 0.750



--- x ---
A relaxed structure of ZrZnCoNi, computed with PBE-GGA.

Computed properties:
M_tot = 0.5 μB per cell

abc: 4.292 4.292 4.292
angles: 60.00 60.00 60.00
Positions (direct):
Zr1 0.000 0.000 0.000
Zn1 0.500 0.500 0.500
Co1 0.750 0.750 0.750
Ni1 0.250 0.250 0.250



Short version: x is the most stable of them.